(1)
The following is a DFT calculation (PBE-GGA) of a relaxed structure of ScZnP2.

* VASP energy: -5.11 eV/atom
* space group: No. 166
* E_form: -0.499 eV per atom

Unit cell a=6.242 b=6.242 c=6.242 alpha=35.12 beta=35.12 gamma=35.12
Element x y z (fractional)
Sc 0.250 0.250 0.250
P 0.003 0.003 0.003
P 0.497 0.497 0.497
Zn 0.750 0.750 0.750

(2)
The following is a DFT calculation (PBE-GGA) of a relaxed structure of ScZn3P.

* VASP energy: -2.80 eV/atom
* space group: No. 221
* E_form: 0.308 eV per atom

Unit cell a=4.643 b=4.643 c=4.643 alpha=90.00 beta=90.00 gamma=90.00
Element x y z (fractional)
Zn 0.500 0.000 0.000
Zn 0.000 0.500 0.000
Zn 0.000 0.000 0.500
P 0.000 0.000 0.000
Sc 0.500 0.500 0.500

(3)
The following is a DFT calculation (PBE-GGA) of a relaxed structure of ScZnP.

* VASP energy: -4.79 eV/atom
* space group: No. 42
* E_form: -0.454 eV per atom

Unit cell a=5.680 b=5.397 c=3.330 alpha=77.21 beta=67.92 gamma=34.87
Element x y z (fractional)
Sc 0.347 0.347 0.653
Zn 0.648 0.648 0.352
P 0.005 0.005 0.995

(4)
The following is a DFT calculation (PBE-GGA) of a relaxed structure of ScZnP.

* VASP energy: -4.99 eV/atom
* space group: No. 156
* E_form: -0.656 eV per atom

Unit cell a=3.983 b=3.983 c=3.594 alpha=90.00 beta=90.00 gamma=120.00
Element x y z (fractional)
Zn 0.333 0.667 0.835
Sc 0.667 0.333 0.333
P 0.000 0.000 0.832